Entry from Alexandria: a crystal of Li3HgAu relaxed with PBEsol (SCAN).

ΔE_f in eV per atom: 0.06
Total magnetization in μB per atom: 0.00

POSCAR file:
```
Li3HgAu
1.0
-1.908 3.570 -2.491
-4.344 -1.739 0.835
-0.284 2.612 3.961
Li Au Hg
3 1 1
direct
0.500 0.000 0.000 Li
0.000 0.000 0.500 Li
0.000 0.500 0.000 Li
0.500 0.500 0.500 Au
0.000 0.000 0.000 Hg
```

***

Entry from Alexandria: a crystal of ReNiMo relaxed with PBEsol (SCAN).

ΔE_f in eV per atom: 0.70
Total magnetization in μB per atom: 0.00

POSCAR file:
```
ReNiMo
1.0
3.994 0.000 0.000
1.997 3.459 0.000
1.997 1.153 3.261
Mo Re Ni
1 1 1
direct
0.500 0.500 0.500 Mo
0.000 0.000 0.000 Re
0.250 0.250 0.250 Ni
```

***

Entry from Alexandria: a crystal of SnCI2N relaxed with PBEsol (SCAN).

Total magnetization in μB per atom: 0.00
Energy relative to the elements, uncorrected in eV/atom: 1.012

POSCAR file:
```
SnCI2N
1.0
2.667 0.000 0.000
0.000 7.079 0.000
0.000 0.000 7.079
I C Sn N
2 1 1 1
direct
0.000 0.500 0.000 I
0.000 0.000 0.500 I
0.000 0.000 0.000 C
0.500 0.500 0.500 Sn
0.500 0.000 0.000 N
```

***

What did the third record say?
Entry from Alexandria: a crystal of SnCI2N relaxed with PBEsol (SCAN).

Total magnetization in μB per atom: 0.00
Energy relative to the elements, uncorrected in eV/atom: 1.012

POSCAR file:
```
SnCI2N
1.0
2.667 0.000 0.000
0.000 7.079 0.000
0.000 0.000 7.079
I C Sn N
2 1 1 1
direct
0.000 0.500 0.000 I
0.000 0.000 0.500 I
0.000 0.000 0.000 C
0.500 0.500 0.500 Sn
0.500 0.000 0.000 N
```